(1)
Sc2Pb: relaxed, PBE-GGA.

Unit cell a=5.858 b=5.858 c=5.858 alpha=106.43 beta=106.43 gamma=115.75
Fractional positions:
Sc  0.841  0.341  0.181
Sc  0.159  0.659  0.819
Sc  0.341  0.159  0.500
Sc  0.659  0.841  0.500
Pb  0.250  0.250  0.000
Pb  0.750  0.750  0.000

Results
Crystal system = tetragonal
Density of states at the Fermi level = 7.367 states/eV per cell
DFT formation energy = -0.197 eV/atom


(2)
ScPb5: relaxed, PBE-GGA.

Unit cell a=6.223 b=6.223 c=5.989 alpha=90.00 beta=90.00 gamma=120.00
Fractional positions:
Sc  0.000  0.000  0.000
Pb  0.333  0.667  0.000
Pb  0.667  0.333  0.000
Pb  0.500  0.000  0.500
Pb  0.000  0.500  0.500
Pb  0.500  0.500  0.500

Results
Crystal system = hexagonal
Density of states at the Fermi level = 5.183 states/eV per cell
DFT formation energy = 0.255 eV/atom


(3)
Sc2Pb: relaxed, PBE-GGA.

Unit cell a=7.824 b=7.824 c=4.555 alpha=90.00 beta=90.00 gamma=149.12
Fractional positions:
Pb  0.099  0.901  0.250
Pb  0.901  0.099  0.750
Sc  0.421  0.579  0.250
Sc  0.579  0.421  0.750
Sc  0.751  0.249  0.250
Sc  0.249  0.751  0.750

Results
Crystal system = orthorhombic
Density of states at the Fermi level = 4.745 states/eV per cell
DFT formation energy = -0.351 eV/atom


(4)
ScPb2: relaxed, PBE-GGA.

Unit cell a=6.328 b=6.328 c=7.865 alpha=76.95 beta=76.95 gamma=31.86
Fractional positions:
Sc  0.965  0.965  0.590
Sc  0.263  0.263  0.964
Pb  0.981  0.981  0.984
Pb  0.337  0.337  0.347
Pb  0.674  0.674  0.685
Pb  0.614  0.614  0.263

Results
Crystal system = monoclinic
Density of states at the Fermi level = 4.774 states/eV per cell
DFT formation energy = -0.156 eV/atom


(5)
ScPb5: relaxed, PBE-GGA.

Unit cell a=6.032 b=6.032 c=5.535 alpha=90.00 beta=90.00 gamma=120.00
Fractional positions:
Sc  0.000  0.000  0.500
Pb  0.684  0.000  0.000
Pb  0.316  0.316  0.000
Pb  0.000  0.684  0.000
Pb  0.667  0.333  0.500
Pb  0.333  0.667  0.500

Results
Crystal system = hexagonal
Density of states at the Fermi level = 4.551 states/eV per cell
DFT formation energy = -0.024 eV/atom


(6)
Sc2Pb: relaxed, PBE-GGA.

Unit cell a=7.986 b=7.986 c=4.013 alpha=90.00 beta=90.00 gamma=120.00
Fractional positions:
Pb  0.333  0.667  0.000
Pb  0.667  0.333  0.000
Pb  0.000  0.000  0.500
Sc  0.269  0.000  0.000
Sc  0.000  0.269  0.000
Sc  0.731  0.731  0.000
Sc  0.606  0.000  0.500
Sc  0.000  0.606  0.500
Sc  0.394  0.394  0.500

Results
Crystal system = hexagonal
Density of states at the Fermi level = 13.445 states/eV per cell
DFT formation energy = -0.343 eV/atom


(7)
Sc4Pb: relaxed, PBE-GGA.

Unit cell a=5.421 b=5.421 c=5.421 alpha=90.00 beta=90.00 gamma=90.00
Fractional positions:
Pb  0.500  0.500  0.500
Sc  0.000  0.000  0.000
Sc  0.500  0.000  0.500
Sc  0.000  0.500  0.500
Sc  0.500  0.500  0.000

Results
Crystal system = cubic
Density of states at the Fermi level = 10.763 states/eV per cell
DFT formation energy = 0.536 eV/atom


(8)
Sc2Pb3: relaxed, PBE-GGA.

Unit cell a=5.112 b=5.112 c=6.253 alpha=90.00 beta=90.00 gamma=120.00
Fractional positions:
Sc  0.667  0.333  0.127
Sc  0.333  0.667  0.873
Pb  0.000  0.000  0.000
Pb  0.667  0.333  0.625
Pb  0.333  0.667  0.375

Results
Crystal system = trigonal
Density of states at the Fermi level = 3.896 states/eV per cell
DFT formation energy = -0.204 eV/atom


(9)
Sc6Pb5: relaxed, PBE-GGA.

Unit cell a=11.171 b=11.168 c=11.168 alpha=147.74 beta=132.40 gamma=58.66
Fractional positions:
Pb  0.009  0.707  0.303
Pb  0.991  0.293  0.697
Pb  0.405  0.207  0.198
Pb  0.595  0.793  0.802
Pb  0.322  0.925  0.397
Pb  0.678  0.075  0.603
Pb  0.528  0.425  0.103
Pb  0.472  0.575  0.897
Pb  0.000  0.750  0.750
Pb  0.000  0.250  0.250
Sc  0.967  0.856  0.111
Sc  0.033  0.144  0.889
Sc  0.746  0.356  0.390
Sc  0.254  0.644  0.610
Sc  0.794  0.561  0.233
Sc  0.206  0.439  0.767
Sc  0.327  0.061  0.267
Sc  0.673  0.939  0.733
Sc  0.695  0.445  0.750
Sc  0.305  0.055  0.750
Sc  0.305  0.555  0.250
Sc  0.695  0.945  0.250

Results
Crystal system = orthorhombic
Density of states at the Fermi level = 17.175 states/eV per cell
DFT formation energy = -0.435 eV/atom


(10)
ScPb4: relaxed, PBE-GGA.

Unit cell a=5.945 b=5.945 c=5.945 alpha=109.47 beta=109.47 gamma=109.47
Fractional positions:
Pb  0.000  0.500  0.000
Pb  0.500  0.500  0.500
Pb  0.000  0.000  0.500
Pb  0.500  0.000  0.000
Sc  0.000  0.000  0.000

Results
Crystal system = cubic
Density of states at the Fermi level = 2.315 states/eV per cell
DFT formation energy = -0.076 eV/atom


(11)
ScPb4: relaxed, PBE-GGA.

Unit cell a=8.936 b=8.936 c=8.936 alpha=151.74 beta=151.74 gamma=40.39
Fractional positions:
Sc  0.000  0.000  0.000
Pb  0.750  0.250  0.500
Pb  0.250  0.750  0.500
Pb  0.590  0.590  0.000
Pb  0.410  0.410  0.000

Results
Crystal system = tetragonal
Density of states at the Fermi level = 3.528 states/eV per cell
DFT formation energy = 0.163 eV/atom


(12)
Sc2Pb: relaxed, PBE-GGA.

Unit cell a=4.964 b=4.964 c=3.484 alpha=90.00 beta=90.00 gamma=120.00
Fractional positions:
Pb  0.000  0.000  0.000
Sc  0.667  0.333  0.728
Sc  0.333  0.667  0.272

Results
Crystal system = trigonal
Density of states at the Fermi level = 3.632 states/eV per cell
DFT formation energy = -0.192 eV/atom


(13)
ScPb5: relaxed, PBE-GGA.

Unit cell a=3.493 b=3.493 c=14.512 alpha=90.00 beta=90.00 gamma=90.00
Fractional positions:
Pb  0.000  0.000  0.857
Pb  0.000  0.000  0.143
Pb  0.500  0.500  0.676
Pb  0.500  0.500  0.324
Pb  0.000  0.000  0.500
Sc  0.500  0.500  0.000

Results
Crystal system = tetragonal
Density of states at the Fermi level = 5.715 states/eV per cell
DFT formation energy = -0.055 eV/atom


(14)
Sc2Pb: relaxed, PBE-GGA.

Unit cell a=5.933 b=5.933 c=9.867 alpha=90.00 beta=90.00 gamma=120.00
Fractional positions:
Pb  0.333  0.667  0.065
Pb  0.667  0.333  0.565
Pb  0.667  0.333  0.935
Pb  0.333  0.667  0.435
Sc  0.000  0.000  0.000
Sc  0.000  0.000  0.500
Sc  0.832  0.664  0.250
Sc  0.168  0.336  0.750
Sc  0.336  0.168  0.250
Sc  0.832  0.168  0.250
Sc  0.168  0.832  0.750
Sc  0.664  0.832  0.750

Results
Crystal system = hexagonal
Density of states at the Fermi level = 13.507 states/eV per cell
DFT formation energy = 0.031 eV/atom


(15)
ScPb2: relaxed, PBE-GGA.

Unit cell a=6.335 b=6.335 c=6.335 alpha=60.00 beta=60.00 gamma=60.00
Fractional positions:
Sc  0.500  0.500  0.500
Sc  0.750  0.750  0.750
Pb  0.625  0.125  0.125
Pb  0.125  0.625  0.125
Pb  0.125  0.125  0.625
Pb  0.125  0.125  0.125

Results
Crystal system = cubic
Density of states at the Fermi level = 5.953 states/eV per cell
DFT formation energy = 0.193 eV/atom


(16)
Sc7Pb: relaxed, PBE-GGA.

Unit cell a=6.495 b=6.495 c=6.495 alpha=60.00 beta=60.00 gamma=60.00
Fractional positions:
Sc  0.500  0.500  0.000
Sc  0.500  0.000  0.500
Sc  0.000  0.500  0.500
Sc  0.500  0.000  0.000
Sc  0.000  0.500  0.000
Sc  0.000  0.000  0.500
Sc  0.500  0.500  0.500
Pb  0.000  0.000  0.000

Results
Crystal system = cubic
Density of states at the Fermi level = 11.009 states/eV per cell
DFT formation energy = -0.092 eV/atom


(17)
ScPb2: relaxed, PBE-GGA.

Unit cell a=3.490 b=3.490 c=7.871 alpha=90.00 beta=90.00 gamma=120.00
Fractional positions:
Pb  0.667  0.333  0.682
Pb  0.333  0.667  0.318
Sc  0.000  0.000  0.000

Results
Crystal system = trigonal
Density of states at the Fermi level = 2.830 states/eV per cell
DFT formation energy = -0.080 eV/atom


(18)
ScPb2: relaxed, PBE-GGA.

Unit cell a=6.017 b=6.017 c=6.017 alpha=145.78 beta=138.53 gamma=54.82
Fractional positions:
Pb  0.346  0.346  0.000
Pb  0.654  0.654  0.000
Sc  0.000  0.000  0.000

Results
Crystal system = orthorhombic
Density of states at the Fermi level = 2.860 states/eV per cell
DFT formation energy = -0.143 eV/atom


(19)
ScPb2: relaxed, PBE-GGA.

Unit cell a=5.995 b=5.995 c=8.646 alpha=71.56 beta=71.56 gamma=34.01
Fractional positions:
Sc  0.689  0.689  0.360
Sc  0.311  0.311  0.640
Pb  0.034  0.034  0.669
Pb  0.352  0.352  0.057
Pb  0.648  0.648  0.943
Pb  0.966  0.966  0.331

Results
Crystal system = monoclinic
Density of states at the Fermi level = 5.905 states/eV per cell
DFT formation energy = -0.148 eV/atom


(20)
Sc2Pb: relaxed, PBE-GGA.

Unit cell a=6.029 b=6.029 c=7.818 alpha=85.32 beta=85.32 gamma=32.06
Fractional positions:
Sc  0.332  0.332  0.331
Sc  0.420  0.420  0.713
Sc  0.068  0.068  0.388
Sc  0.690  0.690  0.045
Pb  0.959  0.959  0.039
Pb  0.697  0.697  0.651

Results
Crystal system = monoclinic
Density of states at the Fermi level = 6.173 states/eV per cell
DFT formation energy = -0.245 eV/atom


(21)
Sc2Pb: relaxed, PBE-GGA.

Unit cell a=5.975 b=5.975 c=5.975 alpha=60.00 beta=60.00 gamma=60.00
Fractional positions:
Sc  0.625  0.125  0.125
Sc  0.125  0.625  0.125
Sc  0.125  0.125  0.625
Sc  0.125  0.125  0.125
Pb  0.500  0.500  0.500
Pb  0.750  0.750  0.750

Results
Crystal system = cubic
Density of states at the Fermi level = 6.179 states/eV per cell
DFT formation energy = 0.021 eV/atom


(22)
ScPb2: relaxed, PBE-GGA.

Unit cell a=5.422 b=5.422 c=6.448 alpha=90.00 beta=90.00 gamma=120.00
Fractional positions:
Sc  0.667  0.333  0.250
Sc  0.333  0.667  0.750
Pb  0.000  0.000  0.000
Pb  0.000  0.000  0.500
Pb  0.333  0.667  0.250
Pb  0.667  0.333  0.750

Results
Crystal system = hexagonal
Density of states at the Fermi level = 5.352 states/eV per cell
DFT formation energy = -0.102 eV/atom


(23)
ScPb4: relaxed, PBE-GGA.

Unit cell a=5.611 b=5.611 c=5.611 alpha=90.00 beta=90.00 gamma=90.00
Fractional positions:
Sc  0.500  0.500  0.500
Pb  0.000  0.000  0.000
Pb  0.500  0.000  0.500
Pb  0.000  0.500  0.500
Pb  0.500  0.500  0.000

Results
Crystal system = cubic
Density of states at the Fermi level = 2.937 states/eV per cell
DFT formation energy = 0.273 eV/atom


(24)
Sc4Pb: relaxed, PBE-GGA.

Unit cell a=4.930 b=6.319 c=8.581 alpha=111.60 beta=106.69 gamma=90.00
Fractional positions:
Sc  0.109  0.359  0.218
Sc  0.891  0.641  0.782
Sc  0.500  0.000  0.000
Sc  0.500  0.500  0.000
Sc  0.698  0.202  0.395
Sc  0.302  0.798  0.605
Sc  0.302  0.307  0.605
Sc  0.698  0.693  0.395
Pb  0.890  0.140  0.781
Pb  0.110  0.860  0.219

Results
Crystal system = orthorhombic
Density of states at the Fermi level = 16.577 states/eV per cell
DFT formation energy = -0.148 eV/atom


(25)
Sc2Pb: relaxed, PBE-GGA.

Unit cell a=4.626 b=4.626 c=3.934 alpha=90.00 beta=90.00 gamma=90.00
Fractional positions:
Pb  0.000  0.000  0.000
Sc  0.000  0.500  0.500
Sc  0.500  0.000  0.500

Results
Crystal system = tetragonal
Density of states at the Fermi level = 3.464 states/eV per cell
DFT formation energy = -0.011 eV/atom


(26)
ScPb5: relaxed, PBE-GGA.

Unit cell a=8.498 b=8.498 c=4.736 alpha=90.00 beta=90.00 gamma=148.70
Fractional positions:
Sc  0.500  0.500  0.000
Pb  0.337  0.663  0.500
Pb  0.155  0.845  0.000
Pb  0.000  0.000  0.500
Pb  0.845  0.155  0.000
Pb  0.663  0.337  0.500

Results
Crystal system = orthorhombic
Density of states at the Fermi level = 4.863 states/eV per cell
DFT formation energy = -0.057 eV/atom